1.
Crystalline ScAg2Os at its relaxed geometry, computed with PBE.

Values from the calculation:
Distance to the lowest polymorph of the same formula: 28 meV per atom
Energy of formation from the pure elements: 0.1280 eV/atom
Raw total energy: -5.6880 eV per atom

Unit cell a=5.4296 b=5.4296 c=4.5198 alpha=106.97 beta=106.97 gamma=33.36
Element x y z (fractional)
Sc: 0.0000 0.0000 0.0000
Ag: 0.2372 0.2372 0.7386
Ag: 0.7628 0.7628 0.2614
Os: 0.5000 0.5000 0.5000



2.
Crystalline ScAgOs3 at its relaxed geometry, computed with PBE.

Values from the calculation:
Distance to the lowest polymorph of the same formula: 0 meV per atom
Energy of formation from the pure elements: 2.3197 eV/atom
Raw total energy: -6.2547 eV per atom

Unit cell a=4.6492 b=4.6492 c=4.6492 alpha=90.00 beta=90.00 gamma=90.00
Element x y z (fractional)
Sc: 0.0000 0.0000 0.0000
Ag: 0.5000 0.5000 0.5000
Os: 0.0000 0.0000 0.5000
Os: 0.0000 0.5000 0.0000
Os: 0.5000 0.0000 0.0000



3.
Crystalline Sc2AgOs at its relaxed geometry, computed with PBE.

Values from the calculation:
Distance to the lowest polymorph of the same formula: 288 meV per atom
Energy of formation from the pure elements: -0.1581 eV/atom
Raw total energy: -6.8441 eV per atom

Unit cell a=5.6538 b=5.6538 c=5.6538 alpha=145.49 beta=132.53 gamma=60.01
Element x y z (fractional)
Sc: 0.0000 0.0000 0.0000
Sc: 0.7165 0.2165 0.5000
Ag: 0.2628 0.7628 0.5000
Os: 0.5013 0.5013 0.0000



4.
Crystalline ScAgOs3 at its relaxed geometry, computed with PBE.

Values from the calculation:
Distance to the lowest polymorph of the same formula: 118 meV per atom
Energy of formation from the pure elements: 2.4376 eV/atom
Raw total energy: -6.1368 eV per atom

Unit cell a=4.7487 b=4.7487 c=4.7487 alpha=90.00 beta=90.00 gamma=90.00
Element x y z (fractional)
Sc: 0.0000 0.0000 0.0000
Ag: 0.5000 0.5000 0.5000
Os: 0.0000 0.5000 0.5000
Os: 0.5000 0.0000 0.5000
Os: 0.5000 0.5000 0.0000



5.
Crystalline ScAgOs at its relaxed geometry, computed with PBE.

Values from the calculation:
Distance to the lowest polymorph of the same formula: 35 meV per atom
Energy of formation from the pure elements: 0.1781 eV/atom
Raw total energy: -6.6260 eV per atom

Unit cell a=4.6626 b=4.6626 c=2.7209 alpha=90.00 beta=90.00 gamma=120.00
Element x y z (fractional)
Sc: 0.0000 0.0000 0.0000
Ag: 0.6667 0.3333 0.7115
Os: 0.3333 0.6667 0.3397



6.
Crystalline ScAgOs4 at its relaxed geometry, computed with PBE.

Values from the calculation:
Energy of formation from the pure elements: 0.2496 eV/atom
Raw total energy: -8.7674 eV per atom

Unit cell a=5.2114 b=5.2114 c=5.2114 alpha=60.00 beta=60.00 gamma=60.00
Element x y z (fractional)
Sc: 0.0000 0.0000 0.0000
Ag: 0.7500 0.7500 0.7500
Os: 0.3751 0.3751 0.3751
Os: 0.3751 0.3751 0.8747
Os: 0.3751 0.8747 0.3751
Os: 0.8747 0.3751 0.3751



7.
Crystalline ScAg2Os at its relaxed geometry, computed with PBE.

Values from the calculation:
Distance to the lowest polymorph of the same formula: 113 meV per atom
Energy of formation from the pure elements: 0.2124 eV/atom
Raw total energy: -5.6035 eV per atom

Unit cell a=2.8086 b=4.9572 c=5.0643 alpha=90.00 beta=99.17 gamma=90.00
Element x y z (fractional)
Sc: 0.0000 0.0000 0.0000
Ag: 0.2770 0.5000 0.7423
Ag: 0.7230 0.5000 0.2577
Os: 0.5000 0.0000 0.5000



8.
Crystalline ScAg2Os at its relaxed geometry, computed with PBE.

Values from the calculation:
Distance to the lowest polymorph of the same formula: 50 meV per atom
Energy of formation from the pure elements: 0.1501 eV/atom
Raw total energy: -5.6658 eV per atom

Unit cell a=5.2540 b=5.2540 c=5.2540 alpha=136.08 beta=136.08 gamma=63.86
Element x y z (fractional)
Sc: 0.0000 0.0000 0.0000
Ag: 0.2500 0.7500 0.5000
Ag: 0.7500 0.2500 0.5000
Os: 0.5000 0.5000 0.0000



9.
Crystalline Sc2AgOs at its relaxed geometry, computed with PBE.

Values from the calculation:
Distance to the lowest polymorph of the same formula: 697 meV per atom
Energy of formation from the pure elements: 0.2507 eV/atom
Raw total energy: -6.4353 eV per atom

Unit cell a=9.7511 b=9.7511 c=9.7511 alpha=18.04 beta=18.04 gamma=18.04
Element x y z (fractional)
Sc: 0.0000 0.0000 0.0000
Sc: 0.2325 0.2325 0.2325
Ag: 0.4829 0.4829 0.4829
Os: 0.7343 0.7343 0.7343



10.
Crystalline Sc2AgOs at its relaxed geometry, computed with PBE.

Values from the calculation:
Distance to the lowest polymorph of the same formula: 265 meV per atom
Energy of formation from the pure elements: -0.1813 eV/atom
Raw total energy: -6.8673 eV per atom

Unit cell a=5.2608 b=5.2608 c=4.7415 alpha=104.68 beta=104.68 gamma=36.16
Element x y z (fractional)
Sc: 0.0000 0.0000 0.0000
Sc: 0.2194 0.2194 0.6282
Ag: 0.4667 0.4667 0.4653
Os: 0.7253 0.7253 0.1068



11.
Crystalline ScAg2Os at its relaxed geometry, computed with PBE.

Values from the calculation:
Distance to the lowest polymorph of the same formula: 17 meV per atom
Energy of formation from the pure elements: 0.1168 eV/atom
Raw total energy: -5.6991 eV per atom

Unit cell a=3.3724 b=3.3724 c=6.1692 alpha=90.00 beta=90.00 gamma=90.00
Element x y z (fractional)
Sc: 0.0000 0.0000 0.0000
Ag: 0.0000 0.0000 0.5259
Ag: 0.5000 0.5000 0.2841
Os: 0.5000 0.5000 0.7836



12.
Crystalline Sc2AgOs at its relaxed geometry, computed with PBE.

Values from the calculation:
Distance to the lowest polymorph of the same formula: 659 meV per atom
Energy of formation from the pure elements: 0.2127 eV/atom
Raw total energy: -6.4734 eV per atom

Unit cell a=2.9329 b=2.9329 c=9.4776 alpha=90.00 beta=90.00 gamma=110.45
Element x y z (fractional)
Sc: 0.0000 0.0000 0.0000
Sc: 0.5000 0.5000 0.3015
Ag: 0.5000 0.5000 0.7513
Os: 0.0000 0.0000 0.5071